(1)
Computed, not measured: a relaxed structure of Y2MgTiO6 at the PBE level of DFT.

abc: 5.6411 5.3415 9.3585
angles: 55.46 90.00 90.00
Positions (direct):
Y (0.0665, 0.7299, 0.7520)
O (0.8111, 0.3545, 0.9441)
O (0.3111, 0.6455, 0.5559)
O (0.4566, 0.8715, 0.7428)
O (0.5434, 0.1285, 0.2572)
Y (0.9335, 0.2701, 0.2480)
Y (0.4335, 0.7299, 0.2520)
O (0.9566, 0.1285, 0.7572)
O (0.7954, 0.7518, 0.5625)
O (0.6889, 0.3545, 0.4441)
O (0.0434, 0.8715, 0.2428)
Mg (0.5000, 0.5000, 0.0000)
Y (0.5665, 0.2701, 0.7480)
O (0.2046, 0.2482, 0.4375)
Ti (0.0000, 0.0000, 0.0000)
Mg (0.0000, 0.5000, 0.5000)
O (0.2954, 0.2482, 0.9375)
Ti (0.5000, 0.0000, 0.5000)
O (0.1889, 0.6455, 0.0559)
O (0.7046, 0.7518, 0.0625)

**Density of states at the Fermi level**: 0.000 states/eV per atom
**Size of the total moment**: 0.00 μB/cell
**Formation energy from raw total energies**: -3262.9 meV per atom

(2)
Computed, not measured: a relaxed structure of YMg6TiO8 at the PBE level of DFT.

abc: 4.4095 4.4095 8.8277
angles: 90.00 90.00 90.00
Last column: magnetic moment on the atom in μB.
Positions (direct):
Mg (0.5000, 0.0000, 0.7375)  0.00
Mg (0.0000, 0.5000, 0.2625)  0.00
Mg (0.5000, 0.5000, 0.5000)  0.00
O (0.5000, 0.5000, 0.7397)  0.01
O (0.0000, 0.5000, 0.5000)  0.00
O (0.5000, 0.0000, 0.0000)  0.01
O (0.0000, 0.0000, 0.2643)  0.00
O (0.0000, 0.0000, 0.7357)  0.00
Mg (0.0000, 0.0000, 0.5000)  0.00
Mg (0.0000, 0.5000, 0.7375)  0.00
O (0.5000, 0.5000, 0.2603)  0.01
Mg (0.5000, 0.0000, 0.2625)  0.00
O (0.5000, 0.0000, 0.5000)  0.00
O (0.0000, 0.5000, 0.0000)  0.01
Ti (0.5000, 0.5000, 0.0000)  1.30
Y (0.0000, 0.0000, 0.0000)  0.02

**Density of states at the Fermi level**: 0.248 states/eV per atom
**Relative energy among the computed polymorphs**: 0.00 eV/f.u.
**Size of the total moment**: 1.72 μB/cell
**Formation energy from raw total energies**: -2524.2 meV per atom

Please write out number 2 again, unchanged.
Computed, not measured: a relaxed structure of YMg6TiO8 at the PBE level of DFT.

abc: 4.4095 4.4095 8.8277
angles: 90.00 90.00 90.00
Last column: magnetic moment on the atom in μB.
Positions (direct):
Mg (0.5000, 0.0000, 0.7375)  0.00
Mg (0.0000, 0.5000, 0.2625)  0.00
Mg (0.5000, 0.5000, 0.5000)  0.00
O (0.5000, 0.5000, 0.7397)  0.01
O (0.0000, 0.5000, 0.5000)  0.00
O (0.5000, 0.0000, 0.0000)  0.01
O (0.0000, 0.0000, 0.2643)  0.00
O (0.0000, 0.0000, 0.7357)  0.00
Mg (0.0000, 0.0000, 0.5000)  0.00
Mg (0.0000, 0.5000, 0.7375)  0.00
O (0.5000, 0.5000, 0.2603)  0.01
Mg (0.5000, 0.0000, 0.2625)  0.00
O (0.5000, 0.0000, 0.5000)  0.00
O (0.0000, 0.5000, 0.0000)  0.01
Ti (0.5000, 0.5000, 0.0000)  1.30
Y (0.0000, 0.0000, 0.0000)  0.02

**Density of states at the Fermi level**: 0.248 states/eV per atom
**Relative energy among the computed polymorphs**: 0.00 eV/f.u.
**Size of the total moment**: 1.72 μB/cell
**Formation energy from raw total energies**: -2524.2 meV per atom

Repeat the first record exactly.
Computed, not measured: a relaxed structure of Y2MgTiO6 at the PBE level of DFT.

abc: 5.6411 5.3415 9.3585
angles: 55.46 90.00 90.00
Positions (direct):
Y (0.0665, 0.7299, 0.7520)
O (0.8111, 0.3545, 0.9441)
O (0.3111, 0.6455, 0.5559)
O (0.4566, 0.8715, 0.7428)
O (0.5434, 0.1285, 0.2572)
Y (0.9335, 0.2701, 0.2480)
Y (0.4335, 0.7299, 0.2520)
O (0.9566, 0.1285, 0.7572)
O (0.7954, 0.7518, 0.5625)
O (0.6889, 0.3545, 0.4441)
O (0.0434, 0.8715, 0.2428)
Mg (0.5000, 0.5000, 0.0000)
Y (0.5665, 0.2701, 0.7480)
O (0.2046, 0.2482, 0.4375)
Ti (0.0000, 0.0000, 0.0000)
Mg (0.0000, 0.5000, 0.5000)
O (0.2954, 0.2482, 0.9375)
Ti (0.5000, 0.0000, 0.5000)
O (0.1889, 0.6455, 0.0559)
O (0.7046, 0.7518, 0.0625)

**Density of states at the Fermi level**: 0.000 states/eV per atom
**Size of the total moment**: 0.00 μB/cell
**Formation energy from raw total energies**: -3262.9 meV per atom

Q: Which formula does entry 1 have?
A: Y2MgTiO6

Q: Which formula does entry 2 have?
A: YMg6TiO8